[1]
Density functional theory data (PBE-GGA) for a relaxed CoGeTeN2 crystal.

Computed properties:
Density of states at the Fermi level   0.845 states/eV per atom
Total moment   3.32 μB/cell
Excess energy over the best structure of this formula in the dataset   0.000 eV per atom
Energy   -5.14 eV/atom
Formation energy from raw total energies   1.164 eV/atom

abc: 3.8561 3.8561 5.2811
angles: 90.00 90.00 90.00
Last column: nearest neighbours and their distance in Å.
Sites, in units of the cell vectors:
Ge 0.5000 0.5000 0.5000  4 Te 2.73
Te 0.0000 0.0000 0.5000  2 Co 2.64, 4 Ge 2.73
Co 0.0000 0.0000 0.0000  4 N 1.93
N 0.0000 0.5000 0.0000  2 Co 1.93
N 0.5000 0.0000 0.0000  2 Co 1.93

---

[2]
Density functional theory data (PBE-GGA) for a relaxed CoGeTeN2 crystal.

Computed properties:
Density of states at the Fermi level   0.723 states/eV per atom
Total moment   2.46 μB/cell
Excess energy over the best structure of this formula in the dataset   0.169 eV per atom
Energy   -4.97 eV/atom
Formation energy from raw total energies   1.334 eV/atom

abc: 3.6676 3.6676 6.9046
angles: 90.00 90.00 90.00
Last column: nearest neighbours and their distance in Å.
Sites, in units of the cell vectors:
Ge 0.0000 0.0000 0.0000  4 N 1.83
Te 0.0000 0.0000 0.5000  4 Co 2.59
Co 0.5000 0.5000 0.5000  4 Te 2.59
N 0.0000 0.5000 0.0000  2 Ge 1.83
N 0.5000 0.0000 0.0000  2 Ge 1.83

---

[3]
Density functional theory data (PBE-GGA) for a relaxed ThCo2GeN crystal.

Computed properties:
Density of states at the Fermi level   0.736 states/eV per atom
Total moment   2.73 μB/cell
Energy   -7.64 eV/atom
Formation energy from raw total energies   -0.728 eV/atom

abc: 3.6782 5.8974 6.9741
angles: 90.00 90.00 108.17
Last column: nearest neighbours and their distance in Å.
Sites, in units of the cell vectors:
Th 0.4553 0.9107 0.7500  4 N 2.58
Th 0.5447 0.0893 0.2500  4 N 2.58
Co 0.1649 0.3299 0.9475  1 N 1.88
Co 0.8351 0.6701 0.0525  1 N 1.88
Co 0.1649 0.3299 0.5525  1 N 1.88
Co 0.8351 0.6701 0.4475  1 N 1.88
Ge 0.7293 0.4586 0.7500  6 Co 2.41-2.42
Ge 0.2707 0.5414 0.2500  6 Co 2.41-2.42
N 0.0000 0.0000 0.0000  2 Co 1.88
N 0.0000 0.0000 0.5000  2 Co 1.88